A plane-wave DFT calculation with PBE was carried out for a relaxed structure of Nd8SmTm2.

abc: 7.987 7.987 8.691
angles: 112.90 112.90 50.41
Fractional positions:
Nd  0.109  0.109  0.996
Nd  0.147  0.663  0.612
Nd  0.239  0.239  0.780
Nd  0.337  0.853  0.388
Nd  0.663  0.147  0.612
Nd  0.761  0.761  0.220
Nd  0.853  0.337  0.388
Nd  0.891  0.891  0.004
Sm  0.500  0.500  0.000
Tm  0.360  0.360  0.241
Tm  0.640  0.640  0.759

Results
Fermi-level density of states, states/eV/cell: 15.860
Calculated density, Mg/m³: 7.1
Distance to the lowest polymorph of the same formula, meV/atom: 72.3
E_tot, eV per atom: -4.502
Magnetization, μB/f.u.: 0.00
ΔH_f (0 K), meV/atom: 207



A plane-wave DFT calculation with PBE was carried out for a relaxed structure of TbNdMg.

abc: 5.513 5.513 3.444
angles: 90.00 90.00 120.00
Fractional positions:
Tb  0.000  0.000  0.000
Nd  0.667  0.333  0.567
Mg  0.333  0.667  0.265

Results
Fermi-level density of states, states/eV/cell: 3.833
Calculated density, Mg/m³: 6.0
Distance to the lowest polymorph of the same formula, meV/atom: 85.6
E_tot, eV per atom: -3.629
Magnetization, μB/f.u.: 0.00
ΔH_f (0 K), meV/atom: 35



A plane-wave DFT calculation with PBE was carried out for a relaxed structure of CaPm2Al2Pd5.

abc: 10.327 10.327 3.773
angles: 90.00 90.00 90.00
Fractional positions:
Ca  0.000  0.000  0.000
Ca  0.500  0.500  0.000
Pm  0.179  0.321  0.000
Pm  0.321  0.821  0.000
Pm  0.679  0.179  0.000
Pm  0.821  0.679  0.000
Al  0.116  0.616  0.000
Al  0.384  0.116  0.000
Al  0.616  0.884  0.000
Al  0.884  0.384  0.000
Pd  0.000  0.500  0.500
Pd  0.068  0.776  0.500
Pd  0.224  0.068  0.500
Pd  0.276  0.568  0.500
Pd  0.432  0.276  0.500
Pd  0.500  0.000  0.500
Pd  0.568  0.724  0.500
Pd  0.724  0.432  0.500
Pd  0.776  0.932  0.500
Pd  0.932  0.224  0.500

Results
Fermi-level density of states, states/eV/cell: 11.824
Calculated density, Mg/m³: 7.6
E_tot, eV per atom: -5.258
Magnetization, μB/f.u.: 0.00
ΔH_f (0 K), meV/atom: -763



A plane-wave DFT calculation with PBE was carried out for a relaxed structure of Cu3Ge5Au12.

abc: 13.031 13.031 13.031
angles: 109.47 109.47 109.47
Fractional positions:
Cu  0.125  0.250  0.375
Cu  0.125  0.375  0.750
Cu  0.250  0.375  0.125
Cu  0.250  0.875  0.625
Cu  0.375  0.125  0.250
Cu  0.375  0.750  0.125
Cu  0.625  0.250  0.875
Cu  0.625  0.875  0.750
Cu  0.750  0.125  0.375
Cu  0.750  0.625  0.875
Cu  0.875  0.625  0.250
Cu  0.875  0.750  0.625
Ge  0.000  0.000  0.000
Ge  0.000  0.000  0.500
Ge  0.000  0.500  0.000
Ge  0.000  0.500  0.500
Ge  0.125  0.750  0.875
Ge  0.125  0.875  0.250
Ge  0.250  0.125  0.875
Ge  0.250  0.625  0.375
Ge  0.375  0.250  0.625
Ge  0.375  0.625  0.750
Ge  0.500  0.000  0.000
Ge  0.500  0.000  0.500
Ge  0.500  0.500  0.000
Ge  0.500  0.500  0.500
Ge  0.625  0.375  0.250
Ge  0.625  0.750  0.375
Ge  0.750  0.375  0.625
Ge  0.750  0.875  0.125
Ge  0.875  0.125  0.750
Ge  0.875  0.250  0.125
Au  0.063  0.230  0.134
Au  0.063  0.332  0.929
Au  0.071  0.634  0.403
Au  0.071  0.937  0.668
Au  0.097  0.730  0.668
Au  0.097  0.866  0.429
Au  0.134  0.063  0.230
Au  0.134  0.571  0.903
Au  0.168  0.230  0.597
Au  0.168  0.437  0.571
Au  0.230  0.134  0.063
Au  0.230  0.597  0.168
Au  0.270  0.332  0.903
Au  0.270  0.437  0.366
Au  0.332  0.903  0.270
Au  0.332  0.929  0.063
Au  0.366  0.270  0.437
Au  0.366  0.597  0.929
Au  0.403  0.071  0.634
Au  0.403  0.832  0.770
Au  0.429  0.097  0.866
Au  0.429  0.832  0.563
Au  0.437  0.366  0.270
Au  0.437  0.571  0.168
Au  0.563  0.429  0.832
Au  0.563  0.634  0.730
Au  0.571  0.168  0.437
Au  0.571  0.903  0.134
Au  0.597  0.168  0.230
Au  0.597  0.929  0.366
Au  0.634  0.403  0.071
Au  0.634  0.730  0.563
Au  0.668  0.071  0.937
Au  0.668  0.097  0.730
Au  0.730  0.563  0.634
Au  0.730  0.668  0.097
Au  0.770  0.403  0.832
Au  0.770  0.866  0.937
Au  0.832  0.563  0.429
Au  0.832  0.770  0.403
Au  0.866  0.429  0.097
Au  0.866  0.937  0.770
Au  0.903  0.134  0.571
Au  0.903  0.270  0.332
Au  0.929  0.063  0.332
Au  0.929  0.366  0.597
Au  0.937  0.668  0.071
Au  0.937  0.770  0.866

Results
Fermi-level density of states, states/eV/cell: 36.778
Calculated density, Mg/m³: 11.4
E_tot, eV per atom: -3.573
Magnetization, μB/f.u.: 0.00
ΔH_f (0 K), meV/atom: 162



A plane-wave DFT calculation with PBE was carried out for a relaxed structure of Tb7Er3Th2.

abc: 19.325 19.325 4.796
angles: 90.00 90.00 166.78
Fractional positions:
Tb  0.000  0.000  0.000
Tb  0.069  0.931  0.500
Tb  0.284  0.716  0.500
Tb  0.426  0.574  0.000
Tb  0.574  0.426  0.000
Tb  0.716  0.284  0.500
Tb  0.931  0.069  0.500
Er  0.163  0.837  0.000
Er  0.500  0.500  0.500
Er  0.837  0.163  0.000
Th  0.364  0.636  0.500
Th  0.636  0.364  0.500

Results
Fermi-level density of states, states/eV/cell: 18.213
Calculated density, Mg/m³: 8.4
Distance to the lowest polymorph of the same formula, meV/atom: 226.6
E_tot, eV per atom: -4.728
Magnetization, μB/f.u.: 0.00
ΔH_f (0 K), meV/atom: 351



A plane-wave DFT calculation with PBE was carried out for a relaxed structure of CaTlH.

abc: 3.722 3.722 5.702
angles: 90.00 90.00 120.00
Fractional positions:
Ca  0.000  0.000  0.000
Tl  0.667  0.333  0.500
H  0.333  0.667  0.001

Results
Fermi-level density of states, states/eV/cell: 1.857
Calculated density, Mg/m³: 6.0
Distance to the lowest polymorph of the same formula, meV/atom: 247.2
E_tot, eV per atom: -2.774
Magnetization, μB/f.u.: 0.76



> magnetization of number 4 (Cu3Ge5Au12)?

0.00 μB/f.u.



What did the fifth record say?
A plane-wave DFT calculation with PBE was carried out for a relaxed structure of Tb7Er3Th2.

abc: 19.325 19.325 4.796
angles: 90.00 90.00 166.78
Fractional positions:
Tb  0.000  0.000  0.000
Tb  0.069  0.931  0.500
Tb  0.284  0.716  0.500
Tb  0.426  0.574  0.000
Tb  0.574  0.426  0.000
Tb  0.716  0.284  0.500
Tb  0.931  0.069  0.500
Er  0.163  0.837  0.000
Er  0.500  0.500  0.500
Er  0.837  0.163  0.000
Th  0.364  0.636  0.500
Th  0.636  0.364  0.500

Results
Fermi-level density of states, states/eV/cell: 18.213
Calculated density, Mg/m³: 8.4
Distance to the lowest polymorph of the same formula, meV/atom: 226.6
E_tot, eV per atom: -4.728
Magnetization, μB/f.u.: 0.00
ΔH_f (0 K), meV/atom: 351